No. 1
# ZnRe2Pt | Alexandria | PBE | optimized geometry
# ΔE_f   1.786 eV per atom
# Space-group type   I-42d
# Crystal system   tetragonal
data_ZnRe2Pt
_chemical_formula_sum 'Zn2 Re4 Pt2'
_space_group_name_H-M_alt 'P 1'
_space_group_IT_number 1
_cell_length_a 5.6347
_cell_length_b 5.6347
_cell_length_c 6.8495
_cell_angle_alpha 65.71
_cell_angle_beta 65.71
_cell_angle_gamma 90.00
loop_
_space_group_symop_operation_xyz
'x,y,z'
loop_
_atom_site_label
_atom_site_type_symbol
_atom_site_fract_x
_atom_site_fract_y
_atom_site_fract_z
Zn1 Zn 0.5000 0.5000 0.0000
Re1 Re 0.3750 0.3707 0.7500
Zn2 Zn 0.2500 0.7500 0.5000
Re2 Re 0.1207 0.6250 0.2500
Re3 Re 0.8750 0.8793 0.7500
Pt1 Pt 0.0000 0.0000 0.0000
Pt2 Pt 0.7500 0.2500 0.5000
Re4 Re 0.6293 0.1250 0.2500



No. 2
# MoPt2W | Alexandria | PBE | optimized geometry
# Energy above the lowest structure with this stoichiometry   88 meV/atom
# ΔE_f   -0.211 eV per atom
# Space-group type   Cm
# Crystal system   monoclinic
data_MoPt2W
_chemical_formula_sum 'Mo1 Pt2 W1'
_space_group_name_H-M_alt 'P 1'
_space_group_IT_number 1
_cell_length_a 4.8385
_cell_length_b 4.8385
_cell_length_c 4.9826
_cell_angle_alpha 81.41
_cell_angle_beta 81.41
_cell_angle_gamma 32.91
loop_
_space_group_symop_operation_xyz
'x,y,z'
loop_
_atom_site_label
_atom_site_type_symbol
_atom_site_fract_x
_atom_site_fract_y
_atom_site_fract_z
Pt1 Pt 0.0044 0.0044 0.9869
Mo1 Mo 0.7521 0.7521 0.7659
Pt2 Pt 0.2451 0.2451 0.2636
W1 W 0.4983 0.4983 0.4836



No. 3
# RbScPt2 | Alexandria | PBE | optimized geometry
# Energy above the lowest structure with this stoichiometry   100 meV/atom
# ΔE_f   -0.074 eV per atom
# Space-group type   Fm-3m
# Crystal system   cubic
data_RbScPt2
_chemical_formula_sum 'Rb1 Sc1 Pt2'
_space_group_name_H-M_alt 'P 1'
_space_group_IT_number 1
_cell_length_a 4.9581
_cell_length_b 4.9581
_cell_length_c 4.9581
_cell_angle_alpha 60.00
_cell_angle_beta 60.00
_cell_angle_gamma 60.00
loop_
_space_group_symop_operation_xyz
'x,y,z'
loop_
_atom_site_label
_atom_site_type_symbol
_atom_site_fract_x
_atom_site_fract_y
_atom_site_fract_z
Rb1 Rb 0.5000 0.5000 0.5000
Sc1 Sc 0.0000 0.0000 0.0000
Pt1 Pt 0.2500 0.2500 0.2500
Pt2 Pt 0.7500 0.7500 0.7500



No. 4
# InTe2H | Alexandria | PBE | optimized geometry
# Energy above the lowest structure with this stoichiometry   260 meV/atom
# Space-group type   I-42d
# Crystal system   tetragonal
data_InTe2H
_chemical_formula_sum 'In2 Te4 H2'
_space_group_name_H-M_alt 'P 1'
_space_group_IT_number 1
_cell_length_a 6.0461
_cell_length_b 6.0461
_cell_length_c 7.3695
_cell_angle_alpha 65.78
_cell_angle_beta 65.78
_cell_angle_gamma 90.00
loop_
_space_group_symop_operation_xyz
'x,y,z'
loop_
_atom_site_label
_atom_site_type_symbol
_atom_site_fract_x
_atom_site_fract_y
_atom_site_fract_z
H1 H 0.2500 0.7500 0.5000
In1 In 0.7500 0.2500 0.5000
Te1 Te 0.5624 0.1250 0.2500
In2 In 0.0000 0.0000 0.0000
Te2 Te 0.3750 0.4376 0.7500
Te3 Te 0.8750 0.8124 0.7500
H2 H 0.5000 0.5000 0.0000
Te4 Te 0.1876 0.6250 0.2500



No. 5
# SmY2Ag | Alexandria | PBE | optimized geometry
# Energy above the lowest structure with this stoichiometry   157 meV/atom
# ΔE_f   0.021 eV per atom
# Space-group type   P4/mmm
# Crystal system   tetragonal
data_SmY2Ag
_chemical_formula_sum 'Sm1 Y2 Ag1'
_space_group_name_H-M_alt 'P 1'
_space_group_IT_number 1
_cell_length_a 3.6882
_cell_length_b 5.5165
_cell_length_c 5.5165
_cell_angle_alpha 90.00
_cell_angle_beta 90.00
_cell_angle_gamma 90.00
loop_
_space_group_symop_operation_xyz
'x,y,z'
loop_
_atom_site_label
_atom_site_type_symbol
_atom_site_fract_x
_atom_site_fract_y
_atom_site_fract_z
Y1 Y 0.0000 0.5000 0.0000
Sm1 Sm 0.5000 0.5000 0.5000
Y2 Y 0.0000 0.0000 0.5000
Ag1 Ag 0.5000 0.0000 0.0000



No. 6
# K2GeI6O18 | Alexandria | PBE | optimized geometry
# E_form (uncorrected)   -0.684 eV per atom
# Space-group type   R-3
# Crystal system   trigonal
data_K2GeI6O18
_chemical_formula_sum 'K2 Ge1 I6 O18'
_space_group_name_H-M_alt 'P 1'
_space_group_IT_number 1
_cell_length_a 7.6333
_cell_length_b 7.6333
_cell_length_c 7.6333
_cell_angle_alpha 96.59
_cell_angle_beta 96.59
_cell_angle_gamma 96.59
loop_
_space_group_symop_operation_xyz
'x,y,z'
loop_
_atom_site_label
_atom_site_type_symbol
_atom_site_fract_x
_atom_site_fract_y
_atom_site_fract_z
O1 O 0.1816 0.1760 0.9478
K1 K 0.6780 0.6780 0.6780
I1 I 0.2040 0.8327 0.6412
O2 O 0.5939 0.1851 0.5909
Ge1 Ge 0.0000 0.0000 0.0000
K2 K 0.3220 0.3220 0.3220
I2 I 0.6412 0.2040 0.8327
O3 O 0.7921 0.4124 0.8813
O4 O 0.5876 0.1187 0.2079
O5 O 0.2079 0.5876 0.1187
O6 O 0.4091 0.4061 0.8149
O7 O 0.9478 0.1816 0.1760
O8 O 0.8149 0.4091 0.4061
I3 I 0.3588 0.7960 0.1673
I4 I 0.8327 0.6412 0.2040
O9 O 0.8240 0.0522 0.8184
O10 O 0.5909 0.5939 0.1851
O11 O 0.1187 0.2079 0.5876
O12 O 0.4124 0.8813 0.7921
O13 O 0.1760 0.9478 0.1816
O14 O 0.8184 0.8240 0.0522
O15 O 0.8813 0.7921 0.4124
O16 O 0.0522 0.8184 0.8240
I5 I 0.7960 0.1673 0.3588
O17 O 0.4061 0.8149 0.4091
I6 I 0.1673 0.3588 0.7960
O18 O 0.1851 0.5909 0.5939



No. 7
# Li2Sm2HoGa2 | Alexandria | PBE | optimized geometry
# ΔE_f   -0.281 eV per atom
# Space-group type   R-3m
# Crystal system   trigonal
data_Li2Sm2HoGa2
_chemical_formula_sum 'Li2 Sm2 Ho1 Ga2'
_space_group_name_H-M_alt 'P 1'
_space_group_IT_number 1
_cell_length_a 4.6099
_cell_length_b 4.6099
_cell_length_c 9.2903
_cell_angle_alpha 75.63
_cell_angle_beta 75.63
_cell_angle_gamma 60.00
loop_
_space_group_symop_operation_xyz
'x,y,z'
loop_
_atom_site_label
_atom_site_type_symbol
_atom_site_fract_x
_atom_site_fract_y
_atom_site_fract_z
Li1 Li 0.3911 0.3911 0.8267
Ga1 Ga 0.7346 0.7346 0.7963
Ho1 Ho 0.0000 0.0000 0.0000
Sm1 Sm 0.1251 0.1251 0.6246
Ga2 Ga 0.2654 0.2654 0.2037
Sm2 Sm 0.8749 0.8749 0.3754
Li2 Li 0.6089 0.6089 0.1733



No. 8
# YSbP2S | Alexandria | PBE | optimized geometry
# E_form (uncorrected)   0.146 eV per atom
# Energy above the lowest structure with this stoichiometry   0 meV/atom
# Space-group type   P4/mmm
# Crystal system   tetragonal
data_YSbP2S
_chemical_formula_sum 'Y1 Sb1 P2 S1'
_space_group_name_H-M_alt 'P 1'
_space_group_IT_number 1
_cell_length_a 4.9762
_cell_length_b 4.9762
_cell_length_c 4.9722
_cell_angle_alpha 90.00
_cell_angle_beta 90.00
_cell_angle_gamma 90.00
loop_
_space_group_symop_operation_xyz
'x,y,z'
loop_
_atom_site_label
_atom_site_type_symbol
_atom_site_fract_x
_atom_site_fract_y
_atom_site_fract_z
Sb1 Sb 0.0000 0.0000 0.0000
P1 P 0.5000 0.0000 0.0000
S1 S 0.0000 0.0000 0.5000
P2 P 0.0000 0.5000 0.0000
Y1 Y 0.5000 0.5000 0.5000